Record 1
Computed, not measured: an optimized crystal structure of CeZrUN3 at the PBE level of DFT.

abc: 3.2906 6.8687 8.4733
angles: 92.47 90.00 90.00
Positions (direct):
N (0.7500, 0.8608, 0.1464)
N (0.2500, 0.6722, 0.3952)
N (0.2500, 0.1392, 0.8536)
N (0.2500, 0.6089, 0.8760)
N (0.7500, 0.3278, 0.6048)
N (0.7500, 0.3911, 0.1240)
Ce (0.2500, 0.1382, 0.1532)
Ce (0.7500, 0.8618, 0.8468)
Zr (0.2500, 0.6236, 0.1427)
Zr (0.7500, 0.3764, 0.8573)
U (0.2500, 0.1408, 0.5521)
U (0.7500, 0.8592, 0.4479)

- Formation energy (no corrections): -1.194 eV per atom
- Crystal system: monoclinic

***

Record 2
Computed, not measured: an optimized crystal structure of MgIn2Ir at the PBE level of DFT.

abc: 5.0254 5.0254 5.1193
angles: 79.60 79.60 37.63
Positions (direct):
In (0.0122, 0.0122, 0.9827)
In (0.4878, 0.4878, 0.5173)
Ir (0.7500, 0.7500, 0.7500)
Mg (0.2500, 0.2500, 0.2500)

- ΔH_f (0 K): -56 meV per atom
- Crystal system: monoclinic

***

Record 3
Computed, not measured: an optimized crystal structure of Dy4CdCu2Rh at the PBE level of DFT.

abc: 4.9997 4.9997 8.6397
angles: 73.18 73.18 60.00
Positions (direct):
Dy (0.1311, 0.1311, 0.6066)
Dy (0.6171, 0.6171, 0.1487)
Dy (0.3829, 0.3829, 0.8513)
Dy (0.8689, 0.8689, 0.3934)
Rh (0.5000, 0.5000, 0.5000)
Cu (0.7424, 0.7424, 0.7729)
Cu (0.2576, 0.2576, 0.2271)
Cd (0.0000, 0.0000, 0.0000)

- ΔH_f (0 K): -425 meV per atom
- Crystal system: trigonal

***

It is found that the calculated total energy values, taken in the order of the records, are -9.651, -4.039, -4.783 eV per atom.